No. 1
Compound: Rb2NiPtSe4
Source: Alexandria via LeMat-Bulk
Functional: GGA-PBE
Structure: relaxed

Unit cell a=5.990 b=13.557 c=22.800 alpha=90.00 beta=90.00 gamma=90.00
Space group Fddd (No. 70, origin choice 2)
Asymmetric unit:
Rb1 0.125 0.125 0.311 [16 per cell]
Ni1 0.125 0.125 0.625 [8 per cell]
Pt1 0.125 0.125 0.125 [8 per cell]
Se1 0.106 0.283 0.814 [32 per cell]

Summary:
Raw formation energy = -4.39 eV/f.u.

---

No. 2
Compound: RbYNiPt2
Source: Alexandria via LeMat-Bulk
Functional: GGA-PBE
Structure: relaxed

Unit cell a=5.306 b=5.306 c=4.432 alpha=90.00 beta=90.00 gamma=90.00
Space group P4/mmm (No. 123)
Asymmetric unit:
Rb1 0.000 0.000 0.000 [1 per cell]
Y1 0.500 0.500 0.500 [1 per cell]
Ni1 0.000 0.000 0.500 [1 per cell]
Pt1 0.000 0.500 0.000 [2 per cell]

Summary:
ΔE_f = 1.300 eV/atom

---

No. 3
Compound: RbZrNiPt2
Source: Alexandria via LeMat-Bulk
Functional: GGA-PBE
Structure: relaxed

Unit cell a=4.985 b=4.985 c=4.514 alpha=90.00 beta=90.00 gamma=90.00
Space group P4/mmm (No. 123)
Asymmetric unit:
Rb1 0.000 0.000 0.000 [1 per cell]
Zr1 0.500 0.500 0.000 [1 per cell]
Ni1 0.500 0.500 0.500 [1 per cell]
Pt1 0.000 0.500 0.500 [2 per cell]

Summary:
ΔE_f = 0.378 eV/atom

---

No. 4
Compound: ReNiPt2
Source: Alexandria via LeMat-Bulk
Functional: GGA-PBE
Structure: relaxed

Unit cell a=9.018 b=2.728 c=4.722 alpha=90.00 beta=99.79 gamma=90.00
Space group C2/m (No. 12)
Asymmetric unit:
Re1 0.000 0.000 0.000 [2 per cell]
Ni1 0.000 0.500 0.500 [2 per cell]
Pt1 0.249 0.000 0.750 [4 per cell]

Summary:
Excess energy over the best structure of this formula in the dataset = 71 meV/atom
ΔE_f = -0.047 eV/atom

---

No. 5
Compound: ReNiPt3
Source: Alexandria via LeMat-Bulk
Functional: GGA-PBE
Structure: relaxed

Unit cell a=4.801 b=4.801 c=4.801 alpha=90.00 beta=90.00 gamma=90.00
Space group Pm-3m (No. 221)
Asymmetric unit:
Re1 0.000 0.000 0.000 [1 per cell]
Ni1 0.500 0.500 0.500 [1 per cell]
Pt1 0.000 0.000 0.500 [3 per cell]

Summary:
Excess energy over the best structure of this formula in the dataset = 1636 meV/atom
ΔE_f = 1.528 eV/atom

---

No. 6
Compound: ReNiPt2
Source: Alexandria via LeMat-Bulk
Functional: GGA-PBE
Structure: relaxed

Unit cell a=2.747 b=2.747 c=7.578 alpha=90.00 beta=90.00 gamma=90.00
Space group P4/mmm (No. 123)
Asymmetric unit:
Re1 0.000 0.000 0.000 [1 per cell]
Ni1 0.000 0.000 0.500 [1 per cell]
Pt1 0.500 0.500 0.256 [2 per cell]

Summary:
Excess energy over the best structure of this formula in the dataset = 0 meV/atom
ΔE_f = -0.118 eV/atom

---

No. 7
Compound: ReNi4Pt3
Source: Alexandria via LeMat-Bulk
Functional: GGA-PBE
Structure: relaxed

Unit cell a=2.689 b=2.689 c=14.681 alpha=90.00 beta=90.00 gamma=90.00
Space group P4/mmm (No. 123)
Asymmetric unit:
Re1 0.000 0.000 0.000 [1 per cell]
Ni1 0.500 0.500 0.120 [2 per cell]
Ni2 0.500 0.500 0.375 [2 per cell]
Pt1 0.000 0.000 0.249 [2 per cell]
Pt2 0.000 0.000 0.500 [1 per cell]

Summary:
ΔE_f = -0.087 eV/atom

---

No. 8
Compound: ReNiPt2
Source: Alexandria via LeMat-Bulk
Functional: GGA-PBE
Structure: relaxed

Unit cell a=5.424 b=7.822 c=2.713 alpha=90.00 beta=90.00 gamma=90.00
Space group Cmmm (No. 65)
Asymmetric unit:
Re1 0.000 0.000 0.000 [2 per cell]
Ni1 0.000 0.500 0.000 [2 per cell]
Pt1 0.250 0.250 0.500 [4 per cell]

Summary:
Excess energy over the best structure of this formula in the dataset = 97 meV/atom
ΔE_f = -0.021 eV/atom

---

No. 9
Compound: ReNiPt2
Source: Alexandria via LeMat-Bulk
Functional: GGA-PBE
Structure: relaxed

Unit cell a=2.725 b=2.725 c=7.685 alpha=90.00 beta=90.00 gamma=90.00
Space group P4mm (No. 99)
Asymmetric unit:
Re1 0.000 0.000 0.000 [1 per cell]
Ni1 0.500 0.500 0.224 [1 per cell]
Pt1 0.000 0.000 0.465 [1 per cell]
Pt2 0.500 0.500 0.744 [1 per cell]

Summary:
Excess energy over the best structure of this formula in the dataset = 9 meV/atom
ΔE_f = -0.109 eV/atom

---

No. 10
Compound: ReNiPt2
Source: Alexandria via LeMat-Bulk
Functional: GGA-PBE
Structure: relaxed

Unit cell a=8.977 b=2.722 c=4.764 alpha=90.00 beta=99.71 gamma=90.00
Space group Cm (No. 8)
Asymmetric unit:
Re1 0.000 0.000 0.000 [2 per cell]
Ni1 0.244 0.500 0.245 [2 per cell]
Pt1 0.250 0.000 0.770 [2 per cell]
Pt2 0.493 0.000 0.484 [2 per cell]

Summary:
Excess energy over the best structure of this formula in the dataset = 19 meV/atom
ΔE_f = -0.099 eV/atom

---

No. 11
Compound: ReNi5Pt6
Source: Alexandria via LeMat-Bulk
Functional: GGA-PBE
Structure: relaxed

Unit cell a=3.841 b=7.418 c=11.550 alpha=90.00 beta=90.00 gamma=90.00
Space group Immm (No. 71)
Asymmetric unit:
Re1 0.000 0.000 0.000 [2 per cell]
Ni1 0.000 0.000 0.333 [4 per cell]
Ni2 0.000 0.500 0.000 [2 per cell]
Ni3 0.000 0.500 0.341 [4 per cell]
Pt1 0.000 0.246 0.500 [4 per cell]
Pt2 0.000 0.252 0.168 [8 per cell]

Summary:
ΔE_f = -0.109 eV/atom

---

No. 12
Compound: Re2Ni8Pt
Source: Alexandria via LeMat-Bulk
Functional: GGA-PBE
Structure: relaxed

Unit cell a=13.168 b=3.615 c=5.760 alpha=90.00 beta=104.81 gamma=90.00
Space group C2/m (No. 12)
Asymmetric unit:
Re1 0.226 0.000 0.136 [4 per cell]
Ni1 0.048 0.000 0.223 [4 per cell]
Ni2 0.089 0.500 0.957 [4 per cell]
Ni3 0.139 0.000 0.685 [4 per cell]
Ni4 0.183 0.500 0.414 [4 per cell]
Pt1 0.000 0.500 0.500 [2 per cell]

Summary:
ΔE_f = -0.041 eV/atom

---

No. 13
Compound: ReNiPt2
Source: Alexandria via LeMat-Bulk
Functional: GGA-PBE
Structure: relaxed

Unit cell a=6.143 b=6.143 c=6.143 alpha=90.00 beta=90.00 gamma=90.00
Space group F-43m (No. 216)
Asymmetric unit:
Re1 0.000 0.000 0.000 [4 per cell]
Ni1 0.250 0.250 0.750 [4 per cell]
Pt1 0.000 0.000 0.500 [4 per cell]
Pt2 0.250 0.250 0.250 [4 per cell]

Summary:
Excess energy over the best structure of this formula in the dataset = 297 meV/atom
ΔE_f = 0.179 eV/atom

---

No. 14
Compound: ReNi4Pt
Source: Alexandria via LeMat-Bulk
Functional: GGA-PBE
Structure: relaxed

Unit cell a=6.619 b=6.619 c=6.619 alpha=90.00 beta=90.00 gamma=90.00
Space group F-43m (No. 216)
Asymmetric unit:
Re1 0.000 0.000 0.000 [4 per cell]
Ni1 0.125 0.125 0.625 [16 per cell]
Pt1 0.250 0.250 0.250 [4 per cell]

Summary:
Excess energy over the best structure of this formula in the dataset = 0 meV/atom
ΔE_f = 0.034 eV/atom

---

no.,mass density (g cm⁻³),final energy (eV/f.u.),N(E_F) (states/eV per atom)
1,5.31,-32.1,0.594
2,8.30,-18.8,0.295
3,9.26,-25.5,0.892
4,18.43,-30.5,0.799
5,12.46,-28.7,1.162
6,18.44,-30.8,0.865
7,15.74,-54.4,1.250
8,18.32,-30.4,1.250
9,18.48,-30.7,0.746
10,18.38,-30.7,1.030
11,16.66,-78.9,1.394
12,12.99,-77.6,1.373
13,18.20,-29.6,1.285
14,14.11,-41.4,1.250